Entry 1:
Material: Hg
Method: DFT, PBE
State: relaxed

Results
For the final energy, the calculation gives -0.28 eV per atom. The value obtained for the formation energy is 0.02 eV/atom.

Cell lengths 4.578, 4.578, 9.522 Å; angles 90.00, 90.00, 120.00 degrees
Atoms (fractional coordinates):
Hg 0.000 0.000 0.250
Hg 0.000 0.000 0.750
Hg 0.333 0.667 0.417
Hg 0.333 0.667 0.917
Hg 0.667 0.333 0.084
Hg 0.667 0.333 0.584


Entry 2:
Material: Hg
Method: DFT, PBE
State: relaxed

Results
For the final energy, the calculation gives -0.29 eV per atom. The value obtained for the formation energy is 0.01 eV/atom.

Cell lengths 3.404, 7.263, 9.228 Å; angles 90.00, 90.00, 90.00 degrees
Atoms (fractional coordinates):
Hg 0.000 0.712 0.250
Hg 0.000 0.288 0.750
Hg 0.500 0.212 0.250
Hg 0.500 0.788 0.750
Hg 0.000 0.000 0.000
Hg 0.000 0.000 0.500
Hg 0.500 0.500 0.000
Hg 0.500 0.500 0.500


Entry 3:
Material: Hg
Method: DFT, PBE
State: relaxed

Results
For the final energy, the calculation gives -0.30 eV per atom. The value obtained for the formation energy is 0.00 eV/atom.

Cell lengths 3.564, 3.564, 5.580 Å; angles 90.00, 90.00, 120.00 degrees
Atoms (fractional coordinates):
Hg 0.667 0.333 0.750
Hg 0.333 0.667 0.250


Entry 4:
Material: Hg
Method: DFT, PBE
State: relaxed

Results
For the final energy, the calculation gives -0.30 eV per atom. The value obtained for the formation energy is 0.00 eV/atom.

Cell lengths 10.399, 10.399, 10.399 Å; angles 109.47, 109.47, 109.47 degrees
Atoms (fractional coordinates):
Hg 0.000 0.000 0.000
Hg 0.000 0.000 0.335
Hg 0.000 0.305 0.584
Hg 0.000 0.335 0.000
Hg 0.000 0.584 0.305
Hg 0.000 0.617 0.805
Hg 0.000 0.805 0.617
Hg 0.812 0.195 0.195
Hg 0.805 0.000 0.617
Hg 0.805 0.617 0.000
Hg 0.721 0.416 0.416
Hg 0.695 0.695 0.279
Hg 0.695 0.279 0.695
Hg 0.665 0.665 0.665
Hg 0.617 0.805 0.000
Hg 0.617 0.000 0.805
Hg 0.584 0.000 0.305
Hg 0.584 0.305 0.000
Hg 0.416 0.416 0.721
Hg 0.416 0.721 0.416
Hg 0.383 0.383 0.188
Hg 0.383 0.188 0.383
Hg 0.335 0.000 0.000
Hg 0.305 0.584 0.000
Hg 0.305 0.000 0.584
Hg 0.279 0.695 0.695
Hg 0.195 0.195 0.812
Hg 0.195 0.812 0.195
Hg 0.188 0.383 0.383


Entry 5:
Material: Hg
Method: DFT, PBE
State: relaxed

Results
For the final energy, the calculation gives -0.30 eV per atom. The value obtained for the formation energy is 0.00 eV/atom.

Cell lengths 3.347, 3.347, 3.347 Å; angles 110.19, 110.19, 108.04 degrees
Atoms (fractional coordinates):
Hg 0.000 0.000 0.000


Entry 6:
Material: Hg
Method: DFT, PBE
State: relaxed

Results
For the final energy, the calculation gives -0.30 eV per atom. The value obtained for the formation energy is 0.00 eV/atom.

Cell lengths 6.590, 6.083, 6.237 Å; angles 100.13, 101.36, 93.66 degrees
Atoms (fractional coordinates):
Hg 0.101 0.096 0.582
Hg 0.775 0.877 0.108
Hg 0.478 0.267 0.286
Hg 0.557 0.387 0.819
Hg 0.018 0.323 0.049
Hg 0.512 0.825 0.551
Hg 0.930 0.570 0.510
Hg 0.250 0.778 0.990


Entry 7:
Material: Hg
Method: DFT, PBE
State: relaxed

Results
For the final energy, the calculation gives -0.30 eV per atom. The value obtained for the formation energy is 0.00 eV/atom.

Cell lengths 5.916, 6.578, 6.336 Å; angles 103.24, 76.98, 91.60 degrees
Atoms (fractional coordinates):
Hg 0.918 0.444 0.763
Hg 0.082 0.556 0.237
Hg 0.982 0.076 0.273
Hg 0.018 0.924 0.727
Hg 0.563 0.745 0.375
Hg 0.437 0.255 0.625
Hg 0.541 0.236 0.107
Hg 0.459 0.764 0.893


Entry 8:
Material: Hg
Method: DFT, PBE
State: relaxed

Results
For the final energy, the calculation gives -0.27 eV per atom. The value obtained for the formation energy is 0.03 eV/atom.

Cell lengths 5.694, 5.144, 6.191 Å; angles 90.00, 90.00, 123.61 degrees
Atoms (fractional coordinates):
Hg 0.671 0.341 0.898
Hg 0.329 0.659 0.102
Hg 0.171 0.341 0.602
Hg 0.829 0.659 0.398


Entry 9:
Material: HoHg8
Method: DFT, PBE
State: relaxed

Results
For the final energy, the calculation gives -0.90 eV per atom. The value obtained for the formation energy is -0.12 eV/atom.

Cell lengths 4.397, 7.472, 7.472 Å; angles 85.03, 72.89, 72.89 degrees
Atoms (fractional coordinates):
Ho 0.000 0.000 0.000
Hg 0.665 0.000 0.669
Hg 0.335 0.000 0.331
Hg 0.333 0.667 0.667
Hg 0.665 0.669 0.000
Hg 0.000 0.667 0.333
Hg 0.335 0.331 0.000
Hg 0.667 0.333 0.333
Hg 0.000 0.333 0.667


Entry 10:
Material: Ho4Hg
Method: DFT, PBE
State: relaxed

Results
For the final energy, the calculation gives -3.79 eV per atom. The value obtained for the formation energy is -0.07 eV/atom.

Cell lengths 6.418, 6.418, 8.684 Å; angles 111.68, 111.68, 90.00 degrees
Atoms (fractional coordinates):
Ho 0.030 0.921 0.342
Ho 0.171 0.280 0.842
Ho 0.720 0.329 0.158
Ho 0.079 0.688 0.658
Ho 0.671 0.562 0.842
Ho 0.438 0.829 0.158
Ho 0.579 0.970 0.658
Ho 0.312 0.421 0.342
Hg 0.750 0.250 0.500
Hg 0.000 0.000 0.000


Entry 11:
Material: Ho5Hg
Method: DFT, PBE
State: relaxed

Results
For the final energy, the calculation gives -4.01 eV per atom. The value obtained for the formation energy is -0.14 eV/atom.

Cell lengths 3.547, 3.547, 13.971 Å; angles 90.00, 90.00, 90.00 degrees
Atoms (fractional coordinates):
Ho 0.000 0.000 0.644
Ho 0.500 0.500 0.823
Ho 0.000 0.000 0.000
Ho 0.500 0.500 0.177
Ho 0.000 0.000 0.356
Hg 0.500 0.500 0.500


Entry 12:
Material: Ho3Hg7
Method: DFT, PBE
State: relaxed

Results
For the final energy, the calculation gives -1.93 eV per atom. The value obtained for the formation energy is -0.35 eV/atom.

Cell lengths 4.881, 6.397, 8.570 Å; angles 107.76, 106.54, 90.00 degrees
Atoms (fractional coordinates):
Ho 0.000 0.000 0.000
Ho 0.800 0.353 0.600
Ho 0.200 0.647 0.400
Hg 0.000 0.500 0.000
Hg 0.803 0.859 0.606
Hg 0.197 0.141 0.394
Hg 0.600 0.343 0.201
Hg 0.400 0.657 0.799
Hg 0.604 0.850 0.207
Hg 0.396 0.150 0.793


Entry 13:
Material: Ho3Hg
Method: DFT, PBE
State: relaxed

Results
For the final energy, the calculation gives -3.73 eV per atom. The value obtained for the formation energy is -0.23 eV/atom.

Cell lengths 3.578, 3.578, 8.881 Å; angles 90.00, 90.00, 90.00 degrees
Atoms (fractional coordinates):
Ho 0.000 0.000 0.500
Ho 0.500 0.500 0.224
Ho 0.500 0.500 0.776
Hg 0.000 0.000 0.000


Entry 14:
Material: Ho3Hg
Method: DFT, PBE
State: relaxed

Results
For the final energy, the calculation gives -3.63 eV per atom. The value obtained for the formation energy is -0.13 eV/atom.

Cell lengths 4.708, 4.708, 5.949 Å; angles 113.31, 113.31, 90.00 degrees
Atoms (fractional coordinates):
Hg 0.000 0.000 0.000
Ho 0.750 0.250 0.500
Ho 0.250 0.750 0.500
Ho 0.500 0.500 0.000


Entry 15:
Material: Ho4Hg3
Method: DFT, PBE
State: relaxed

Results
For the final energy, the calculation gives -3.06 eV per atom. The value obtained for the formation energy is -0.32 eV/atom.

Cell lengths 5.165, 5.165, 8.921 Å; angles 73.17, 73.17, 60.00 degrees
Atoms (fractional coordinates):
Ho 0.621 0.621 0.137
Ho 0.873 0.873 0.382
Ho 0.127 0.127 0.618
Ho 0.379 0.379 0.863
Hg 0.248 0.248 0.256
Hg 0.752 0.752 0.744
Hg 0.000 0.000 0.000


Entry 16:
Material: Ho3Hg
Method: DFT, PBE
State: relaxed

Results
For the final energy, the calculation gives -3.74 eV per atom. The value obtained for the formation energy is -0.23 eV/atom.

Cell lengths 3.616, 6.586, 9.954 Å; angles 90.00, 90.00, 105.93 degrees
Atoms (fractional coordinates):
Ho 0.455 0.909 0.750
Ho 0.545 0.091 0.250
Ho 0.130 0.261 0.959
Ho 0.870 0.739 0.041
Ho 0.870 0.739 0.459
Ho 0.130 0.261 0.541
Hg 0.746 0.491 0.750
Hg 0.254 0.509 0.250


Entry 17:
Material: Ho5Hg
Method: DFT, PBE
State: relaxed

Results
For the final energy, the calculation gives -3.96 eV per atom. The value obtained for the formation energy is -0.09 eV/atom.

Cell lengths 4.790, 4.792, 7.861 Å; angles 107.75, 90.00, 90.00 degrees
Atoms (fractional coordinates):
Hg 0.000 0.000 0.000
Ho 0.500 0.831 0.663
Ho 0.000 0.662 0.325
Ho 0.500 0.500 0.000
Ho 0.000 0.338 0.675
Ho 0.500 0.169 0.337


Entry 18:
Material: Ho3Hg
Method: DFT, PBE
State: relaxed

Results
For the final energy, the calculation gives -3.55 eV per atom. The value obtained for the formation energy is -0.04 eV/atom.

Cell lengths 5.372, 5.372, 5.372 Å; angles 60.00, 60.00, 60.00 degrees
Each line ends with the local moment (μB).
Atoms (fractional coordinates):
Hg 0.500 0.500 0.500  0.00
Ho 0.000 0.000 0.000  0.06
Ho 0.750 0.750 0.750  0.04
Ho 0.250 0.250 0.250  0.04


Entry 19:
Material: Ho4Hg3
Method: DFT, PBE
State: relaxed

Results
For the final energy, the calculation gives -2.90 eV per atom. The value obtained for the formation energy is -0.16 eV/atom.

Cell lengths 4.961, 4.961, 10.144 Å; angles 75.85, 75.85, 60.00 degrees
Each line ends with the local moment (μB).
Atoms (fractional coordinates):
Ho 0.703 0.703 0.890  0.04
Ho 0.879 0.879 0.364  0.13
Ho 0.297 0.297 0.110  0.04
Ho 0.121 0.121 0.636  0.13
Hg 0.500 0.500 0.500  0.03
Hg 0.600 0.600 0.199  0.01
Hg 0.400 0.400 0.801  0.01


Entry 20:
Material: Ho7Hg3
Method: DFT, PBE
State: relaxed

Results
For the final energy, the calculation gives -3.54 eV per atom. The value obtained for the formation energy is -0.24 eV/atom.

Cell lengths 6.572, 10.077, 10.077 Å; angles 120.00, 90.00, 90.00 degrees
Atoms (fractional coordinates):
Ho 0.075 0.667 0.333
Ho 0.575 0.333 0.667
Ho 0.925 0.871 0.743
Ho 0.925 0.871 0.129
Ho 0.925 0.257 0.129
Ho 0.425 0.129 0.257
Ho 0.425 0.129 0.871
Ho 0.425 0.743 0.871
Ho 0.153 0.468 0.937
Ho 0.153 0.468 0.532
Ho 0.153 0.063 0.532
Ho 0.653 0.532 0.063
Ho 0.653 0.532 0.468
Ho 0.653 0.937 0.468
Hg 0.866 0.198 0.396
Hg 0.866 0.198 0.802
Hg 0.866 0.604 0.802
Hg 0.366 0.802 0.604
Hg 0.366 0.802 0.198
Hg 0.366 0.396 0.198


Entry 21:
Material: Ho2Hg5
Method: DFT, PBE
State: relaxed

Results
For the final energy, the calculation gives -1.82 eV per atom. The value obtained for the formation energy is -0.29 eV/atom.

Cell lengths 5.322, 7.833, 8.894 Å; angles 94.93, 90.00, 109.86 degrees
Atoms (fractional coordinates):
Ho 0.836 0.172 0.598
Ho 0.664 0.828 0.902
Ho 0.164 0.828 0.402
Ho 0.336 0.172 0.098
Hg 0.620 0.740 0.554
Hg 0.880 0.260 0.946
Hg 0.956 0.412 0.307
Hg 0.544 0.588 0.193
Hg 0.044 0.588 0.693
Hg 0.456 0.412 0.807
Hg 0.120 0.740 0.054
Hg 0.380 0.260 0.446
Hg 0.250 0.000 0.750
Hg 0.750 0.000 0.250


Entry 22:
Material: HoHg
Method: DFT, PBE
State: relaxed

Results
For the final energy, the calculation gives -2.89 eV per atom. The value obtained for the formation energy is -0.45 eV/atom.

Cell lengths 3.835, 4.771, 6.025 Å; angles 90.00, 107.75, 90.00 degrees
Atoms (fractional coordinates):
Hg 0.914 0.250 0.824
Hg 0.086 0.750 0.176
Ho 0.642 0.250 0.289
Ho 0.358 0.750 0.711


Entry 23:
Material: HoHg5
Method: DFT, PBE
State: relaxed

Results
For the final energy, the calculation gives -1.20 eV per atom. The value obtained for the formation energy is -0.18 eV/atom.

Cell lengths 5.103, 5.145, 6.456 Å; angles 94.80, 90.00, 119.73 degrees
Atoms (fractional coordinates):
Ho 0.694 0.389 0.889
Hg 0.034 0.068 0.131
Hg 0.694 0.389 0.389
Hg 0.355 0.710 0.647
Hg 0.366 0.731 0.130
Hg 0.023 0.046 0.647


Entry 24:
Material: HoHg
Method: DFT, PBE
State: relaxed

Results
For the final energy, the calculation gives -2.68 eV per atom. The value obtained for the formation energy is -0.24 eV/atom.

Cell lengths 4.326, 4.326, 4.326 Å; angles 60.00, 60.00, 60.00 degrees
Atoms (fractional coordinates):
Hg 0.000 0.000 0.000
Ho 0.500 0.500 0.500


Entry 25:
Material: Ho4Hg
Method: DFT, PBE
State: relaxed

Results
For the final energy, the calculation gives -3.43 eV per atom. The value obtained for the formation energy is 0.29 eV/atom.

Cell lengths 5.625, 5.625, 5.625 Å; angles 90.00, 90.00, 90.00 degrees
Atoms (fractional coordinates):
Hg 0.500 0.500 0.500
Ho 0.000 0.000 0.000
Ho 0.500 0.000 0.500
Ho 0.000 0.500 0.500
Ho 0.500 0.500 0.000